Compound: CsGdW2O8
Source: Alexandria
Functional: GGA+U
Structure: relaxed

Cell: 7.7790 7.7790 7.5812 Å, 117.39 117.39 88.95°
With the nearest neighbours (Å) after each atom.
Atoms (fractional coordinates):
Cs 0.2001 0.7999 0.7500  10 O 2.97-3.11
Cs 0.7999 0.2001 0.2500  10 O 2.97-3.11
Gd 0.2229 0.7771 0.2500  6 O 2.32-2.38
Gd 0.7771 0.2229 0.7500  6 O 2.32-2.38
W 0.3032 0.3131 0.2862  4 O 1.84-2.04
W 0.3131 0.3032 0.7862  4 O 1.84-2.04
W 0.6869 0.6968 0.2138  4 O 1.84-2.04
W 0.6968 0.6869 0.7138  4 O 1.84-2.04
O 0.0522 0.2328 0.7064  1 W 1.84
O 0.0609 0.3614 0.1268  1 W 1.86
O 0.2328 0.0522 0.2064  1 W 1.84
O 0.2548 0.3763 0.5649  1 W 1.87
O 0.3614 0.0609 0.6268  1 W 1.86
O 0.3763 0.2548 0.0649  1 W 1.87
O 0.3761 0.5923 0.0375  2 W 2.04-2.10
O 0.4077 0.6239 0.4625  2 W 2.04-2.10
O 0.5923 0.3761 0.5375  2 W 2.04-2.10
O 0.6239 0.4077 0.9625  2 W 2.04-2.10
O 0.6237 0.7452 0.9351  1 W 1.87
O 0.6386 0.9391 0.3732  1 W 1.86
O 0.7452 0.6237 0.4351  1 W 1.87
O 0.7672 0.9478 0.7936  1 W 1.84
O 0.9391 0.6386 0.8732  1 W 1.86
O 0.9478 0.7672 0.2936  1 W 1.84

total magnetic moment: 6.95 μB/f.u.
DOS(E_F): 0.00 states/eV per atom
energy: -195.4 eV/cell